Material: Hf2BiBPt
Method: DFT, PBE-GGA
State: relaxed

Summary:
N(E_F)	2.745	states/eV per cell
crystal system	tetragonal
ΔH_f (0 K)	1709	meV/atom
magnetization	0.00	Bohr magnetons per cell
electronic total energy	-5.59	eV per atom

Unit cell a=5.3901 b=4.2723 c=5.3901 alpha=90.00 beta=90.00 gamma=90.00
Last column: nearest neighbours and their distance in Å.
Element x y z (fractional)
B  0.0000  0.5000  0.0000  2 Bi 2.14
Bi  0.0000  0.0000  0.0000  2 B 2.14
Pt  0.5000  0.5000  0.5000  8 Hf 3.44, 4 B 3.81
Hf  0.0000  0.0000  0.5000  2 Bi 2.70
Hf  0.5000  0.0000  0.0000  2 Bi 2.70